The following is a DFT calculation (PBE) of crystalline TbErTm5Sc2 at its relaxed geometry.

Lattice parameters (Å, degrees): 10.922 10.922 9.238 90.00 90.00 150.72
Atoms (fractional coordinates):
Tb 0.186 0.814 0.500
Tb 0.814 0.186 0.000
Er 0.402 0.598 0.097
Er 0.598 0.402 0.597
Tm 0.011 0.989 0.502
Tm 0.264 0.736 0.181
Tm 0.307 0.693 0.798
Tm 0.392 0.608 0.471
Tm 0.469 0.531 0.770
Tm 0.531 0.469 0.270
Tm 0.608 0.392 0.971
Tm 0.693 0.307 0.298
Tm 0.736 0.264 0.681
Tm 0.989 0.011 0.002
Sc 0.113 0.887 0.194
Sc 0.137 0.863 0.819
Sc 0.863 0.137 0.319
Sc 0.887 0.113 0.694

Calculated values
* formation energy: 17 kJ per mole of atoms
* DFT total energy: -0.348 Ry per atom
* total magnetization: 0.00 μB per cell
* crystal system: orthorhombic
* DOS at the Fermi energy: 13.80 states/eV/f.u.